# 1
An optimized crystal structure of NdSc4Si4, computed with GGA-PBEsol.

Cell lengths 7.0402, 7.2758, 13.7809 Å; angles 90.00, 90.00, 90.00 degrees
Last column: nearest neighbours and their distance in Å.
Fractional positions:
Sc (0.0945, 0.0041, 0.5013)  6 Si 2.75-2.98
Si (0.9111, 0.4601, 0.7879)  1 Si 2.45, 1 Sc 2.68
Si (0.2233, 0.6138, 0.4978)  1 Si 2.49, 5 Sc 2.69-2.76
Sc (0.7736, 0.1817, 0.6465)  6 Si 2.84-2.97
Sc (0.7264, 0.8183, 0.1465)  6 Si 2.84-2.97
Si (0.7767, 0.1138, 0.0022)  1 Si 2.49, 5 Sc 2.69-2.76
Sc (0.0721, 0.1731, 0.8772)  6 Si 2.68-2.80
Sc (0.5721, 0.3269, 0.1228)  6 Si 2.68-2.80
Nd (0.7354, 0.8255, 0.8423)  7 Si 2.90-3.22
Si (0.7233, 0.8862, 0.5022)  1 Si 2.49, 5 Sc 2.69-2.76
Nd (0.2646, 0.3255, 0.6577)  7 Si 2.90-3.22
Sc (0.9232, 0.6784, 0.3733)  6 Si 2.72-2.83
Nd (0.2354, 0.6745, 0.1577)  7 Si 2.90-3.22
Sc (0.5768, 0.3216, 0.8733)  6 Si 2.72-2.83
Sc (0.4279, 0.8269, 0.3772)  6 Si 2.68-2.80
Si (0.2767, 0.3862, 0.9978)  1 Si 2.49, 5 Sc 2.69-2.76
Sc (0.2264, 0.6817, 0.8535)  6 Si 2.84-2.97
Si (0.4724, 0.1278, 0.5022)  1 Si 2.49
Sc (0.9055, 0.5041, 0.9987)  6 Si 2.75-2.98
Sc (0.9279, 0.6731, 0.6228)  6 Si 2.68-2.80
Sc (0.5945, 0.4959, 0.4987)  6 Si 2.75-2.98
Sc (0.4232, 0.8216, 0.6267)  6 Si 2.72-2.83
Si (0.1092, 0.9760, 0.2941)  1 Si 2.45, 1 Sc 2.74
Nd (0.7646, 0.1745, 0.3423)  7 Si 2.90-3.22
Si (0.9724, 0.3722, 0.4978)  1 Si 2.49
Si (0.0889, 0.9601, 0.7121)  1 Si 2.45, 1 Sc 2.68
Sc (0.2736, 0.3183, 0.3535)  6 Si 2.84-2.97
Si (0.6092, 0.5240, 0.7059)  1 Si 2.45, 1 Sc 2.74
Sc (0.0768, 0.1784, 0.1267)  6 Si 2.72-2.83
Si (0.5889, 0.5399, 0.2879)  1 Si 2.45, 1 Sc 2.68
Si (0.4111, 0.0399, 0.2121)  1 Si 2.45, 1 Sc 2.68
Si (0.0276, 0.8722, 0.0022)  1 Si 2.49
Sc (0.4055, 0.9959, 0.0013)  6 Si 2.75-2.98
Si (0.5276, 0.6278, 0.9978)  1 Si 2.49
Si (0.8908, 0.4760, 0.2059)  1 Si 2.45, 1 Sc 2.74
Si (0.3908, 0.0240, 0.7941)  1 Si 2.45, 1 Sc 2.74

Calculated values
Space group: P2_12_12_1

# 2
An optimized crystal structure of NdScSi, computed with GGA-PBEsol.

Cell lengths 4.2396, 4.2396, 8.3833 Å; angles 104.65, 104.65, 90.00 degrees
Last column: nearest neighbours and their distance in Å.
Fractional positions:
Nd (0.6768, 0.6768, 0.3537)  5 Si 3.12-3.14, 4 Sc 3.49
Nd (0.3232, 0.3232, 0.6463)  5 Si 3.12-3.14, 4 Sc 3.49
Si (0.8776, 0.8776, 0.7551)  4 Sc 2.86, 5 Nd 3.12-3.14
Sc (0.0000, 0.5000, 0.0000)  4 Si 2.86, 4 Sc 3.00
Si (0.1224, 0.1224, 0.2449)  4 Sc 2.86, 5 Nd 3.12-3.14
Sc (0.5000, 0.0000, 0.0000)  4 Si 2.86, 4 Sc 3.00

Calculated values
Space group: I4/mmm

These records have total magnetization values of 0.0, 1.2 μB/cell, in the order they appear.
These records have calculated total energy values of -0.2537, -0.2383 hartree per atom, in the order they appear.